Record 1
A plane-wave DFT calculation with PBE was carried out for an optimized crystal structure of Tl2CrGeCl6.

Calculated values
Fermi-level density of states in states/eV per cell: 1.17
Total magnetic moment in μB/f.u.: 4.0
DFT total energy in eV/atom: -3.871
Energy relative to the elements, uncorrected in eV/atom: -0.866

```
10
Lattice="6.228 0.000 0.633 0.000 6.984 0.000 -2.022 -3.492 6.088" Properties=species:S:1:pos:R:3 pbc="T T T"
Cl -0.472 -1.693 5.305
Cr 0.000 3.492 0.000
Cl -0.472 1.693 5.305
Cl 4.677 5.185 1.416
Cl 0.927 3.492 2.172
Cl 3.279 0.000 4.549
Ge 3.114 0.000 0.316
Tl 0.516 0.000 2.734
Tl 3.689 3.492 3.987
Cl 4.677 1.799 1.416
```


Record 2
A plane-wave DFT calculation with PBE was carried out for an optimized crystal structure of DyZnGe2.

Calculated values
Fermi-level density of states in states/eV per cell: 1.32
Total magnetic moment in μB/f.u.: 0.0
DFT total energy in eV/atom: -4.215
E_form in eV per formula unit: -1.751

```
4
Lattice="4.099 0.000 0.000 0.000 4.343 0.000 0.000 0.000 4.343" Properties=species:S:1:pos:R:3 pbc="T T T"
Ge 0.000 2.171 0.000
Dy 2.050 2.171 2.171
Ge 0.000 0.000 2.171
Zn 2.050 0.000 0.000
```


Record 3
A plane-wave DFT calculation with PBE was carried out for an optimized crystal structure of Mg2InAg3.

Calculated values
Fermi-level density of states in states/eV per cell: 3.39
Offset from the most stable computed form in meV/atom: 47
Total magnetic moment in μB/f.u.: 0.0
DFT total energy in eV/atom: -2.542
E_form in eV per formula unit: -0.768

```
12
Lattice="-1.409 -2.015 5.398 -4.521 -2.005 -1.929 4.490 -5.155 -4.011" Properties=species:S:1:pos:R:3 pbc="T T T"
Ag -2.510 -7.170 0.762
Mg 0.350 -3.000 1.404
In -4.620 -3.262 3.261
Mg -1.790 -6.175 -1.947
Mg -2.268 -4.514 1.807
Ag -2.002 -1.748 2.857
Ag -3.928 -2.272 0.611
In -1.310 -0.759 0.207
Ag 0.112 -5.650 0.342
Mg 0.828 -4.662 -2.350
Ag -1.552 -3.525 -0.885
Ag 1.070 -2.006 -1.305
```